# MnO2F GGA+U relaxed
data_MnO2F
_chemical_formula_sum 'Mn4 O8 F4'
_cell_length_a 5.283
_cell_length_b 5.283
_cell_length_c 5.283
_cell_angle_alpha 90.00
_cell_angle_beta 90.00
_cell_angle_gamma 90.00
_space_group_name_H-M_alt 'F m -3 m'
_space_group_IT_number 225
_space_group_name_Hall '-F 4 2 3'
loop_
_atom_site_label
_atom_site_fract_x
_atom_site_fract_y
_atom_site_fract_z
_atom_site_occupancy
Mn1 0.000 0.000 0.000 1
O1 0.250 0.250 0.250 1
F1 0.000 0.000 0.500 1
# * Fermi-level density of states: 2.5 states/eV/f.u.
# * spin magnetization: 2.00 μB per formula unit
# * total DFT energy (no corrections): -5.2030 eV/atom